# 1
This record from Alexandria describes a relaxed BeCr2Re crystal. The functional is PBE-GGA.

a b c (Å): 2.9689 2.9689 5.2923
angles (deg): 90.00 90.00 90.00
Fractional positions:
Re: 0.0000 0.0000 0.5209
Be: 0.5000 0.5000 0.7597
Cr: 0.0000 0.0000 0.9845
Cr: 0.5000 0.5000 0.2349

Output
Magnetic moment in μB/atom: 0.001
Total DFT energy (no corrections) in eV per atom: -8.81
Formation energy from the elements in eV per atom: 0.050
Volume in Å³ per atom: 11.662
Fermi-level density of states in states/eV/cell: 4.0
SG: No. 99
ρ in g/cm³: 10.65

# 2
This record from Alexandria describes a relaxed Ca3Si4Os2 crystal. The functional is PBE-GGA.

a b c (Å): 4.1545 5.9067 8.1141
angles (deg): 105.94 90.00 110.59
Fractional positions:
Si: 0.7200 0.4401 0.0778
Si: 0.1111 0.2223 0.4163
Si: 0.2800 0.5599 0.9222
Si: 0.8889 0.7777 0.5837
Os: 0.3114 0.6228 0.6466
Os: 0.6886 0.3772 0.3534
Ca: 0.6090 0.2180 0.6952
Ca: 0.3910 0.7820 0.3048
Ca: 0.0000 0.0000 0.0000

Output
Magnetic moment in μB/atom: 0.000
Total DFT energy (no corrections) in eV per atom: -6.05
Volume in Å³ per atom: 19.800
E_form (uncorrected) in meV/atom: -481
Fermi-level density of states in states/eV/cell: 3.7
SG: No. 12
ρ in g/cm³: 5.71

# 3
This record from Alexandria describes a relaxed HgRu3Se crystal. The functional is PBE-GGA.

a b c (Å): 5.0166 5.0166 5.0166
angles (deg): 90.00 90.00 90.00
Each line ends with the local moment (μB).
Fractional positions:
Ru: 0.0000 0.0000 0.5000  2.69
Ru: 0.5000 0.0000 0.0000  1.87
Ru: 0.0000 0.5000 0.0000  2.37
Se: 0.5000 0.5000 0.5000  0.20
Hg: 0.0000 0.0000 0.0000  0.04

Output
Magnetic moment in μB/atom: 1.534
Total DFT energy (no corrections) in eV per atom: -4.05
Distance to the lowest polymorph of the same formula in meV per atom: 1364.5
Volume in Å³ per atom: 25.249
E_form (uncorrected) in meV/atom: 2278
Fermi-level density of states in states/eV/cell: 7.8
SG: No. 221
ρ in g/cm³: 7.67